[1]
The following is a DFT calculation (PBE) of a geometry-optimized Sn5B2Rh6 structure.

Properties
The total magnetization comes out at 0.00 Bohr magnetons per cell. Its final energy is -6.423 eV per atom. For the density of states at the Fermi level, the calculation gives 1.86 states/eV/cell. The value obtained for the formation energy from the elements is -464 meV/atom.

Cell lengths 6.6733, 6.6733, 5.6213 Å; angles 90.00, 90.00, 120.00 degrees
Closest atoms and distances in Å follow each position.
Fractional coordinates of all 13 atoms:
Sn 0.4041 0.4041 0.0000  1 B 2.70, 6 Rh 2.71-2.75
Sn 0.5959 0.0000 0.0000  1 B 2.70, 6 Rh 2.71-2.75
Sn 0.0000 0.5959 0.0000  1 B 2.70, 6 Rh 2.71-2.75
Sn 0.6667 0.3333 0.5000  6 Rh 2.90
Sn 0.3333 0.6667 0.5000  6 Rh 2.90
B 0.0000 0.0000 0.5000  6 Rh 2.18
B 0.0000 0.0000 0.0000  6 Rh 2.20
Rh 0.2512 0.0000 0.7468  2 B 2.18-2.20
Rh 0.7488 0.7488 0.2532  2 B 2.18-2.20
Rh 0.0000 0.2512 0.2532  2 B 2.18-2.20
Rh 0.2512 0.0000 0.2532  2 B 2.18-2.20
Rh 0.7488 0.7488 0.7468  2 B 2.18-2.20
Rh 0.0000 0.2512 0.7468  2 B 2.18-2.20

[2]
The following is a DFT calculation (PBE) of a geometry-optimized HfTa2TlO8 structure.

Properties
The total magnetization comes out at 1.08 Bohr magnetons per cell. Its final energy is -8.788 eV per atom. For the density of states at the Fermi level, the calculation gives 8.37 states/eV/cell.

Cell lengths 5.9564, 5.9564, 7.6507 Å; angles 90.00, 90.00, 120.00 degrees
Closest atoms and distances in Å follow each position.
Fractional coordinates of all 12 atoms:
Hf 0.0000 0.0000 0.5000  6 O 2.07
Ta 0.6667 0.3333 0.2602  4 O 1.84-1.87
Ta 0.3333 0.6667 0.7398  4 O 1.84-1.87
Tl 0.0000 0.0000 0.0000  12 O 3.08-3.44
O 0.3333 0.6667 0.9806  1 Ta 1.84
O 0.3227 0.1619 0.3384  1 Ta 1.87, 1 Hf 2.07
O 0.8381 0.1608 0.3384  1 Ta 1.87, 1 Hf 2.07
O 0.6667 0.3333 0.0194  1 Ta 1.84
O 0.1619 0.8392 0.6616  1 Ta 1.87, 1 Hf 2.07
O 0.6773 0.8381 0.6616  1 Ta 1.87, 1 Hf 2.07
O 0.1608 0.3227 0.6616  1 Ta 1.87, 1 Hf 2.07
O 0.8392 0.6773 0.3384  1 Ta 1.87, 1 Hf 2.07

[3]
The following is a DFT calculation (PBE) of a geometry-optimized BaSr2Sn2 structure.

Properties
The value obtained for the energy above the most stable polymorph in this dataset is 39 meV per atom. The total magnetization comes out at 0.76 Bohr magnetons per cell. Its final energy is -3.157 eV per atom. For the density of states at the Fermi level, the calculation gives 4.34 states/eV/cell. The value obtained for the formation energy from the elements is -499 meV/atom.

Cell lengths 5.3274, 5.3274, 8.0926 Å; angles 70.78, 70.78, 90.00 degrees
Closest atoms and distances in Å follow each position.
Fractional coordinates of all 5 atoms:
Sr 0.7500 0.2500 0.5000  4 Sn 3.42, 4 Sr 3.77
Sr 0.2500 0.7500 0.5000  4 Sn 3.42, 4 Sr 3.77
Ba 0.0000 0.0000 0.0000  8 Sn 4.03, 8 Sr 4.46
Sn 0.3998 0.3998 0.2004  1 Sn 2.87
Sn 0.6002 0.6002 0.7996  1 Sn 2.87

[4]
The following is a DFT calculation (PBE) of a geometry-optimized Ti3MnAl3Pd2 structure.

Properties
The total magnetization comes out at 0.00 Bohr magnetons per cell. Its final energy is -6.610 eV per atom. For the density of states at the Fermi level, the calculation gives 5.64 states/eV/cell. The value obtained for the formation energy from the elements is -558 meV/atom.

Cell lengths 2.9218, 7.3533, 7.3533 Å; angles 120.00, 90.00, 90.00 degrees
Closest atoms and distances in Å follow each position.
Fractional coordinates of all 9 atoms:
Ti 0.5000 0.7381 0.0000  2 Mn 2.42
Ti 0.5000 0.0000 0.7381  2 Mn 2.42
Ti 0.5000 0.2619 0.2619  2 Mn 2.42
Mn 0.0000 0.0000 0.0000  6 Ti 2.42
Al 0.0000 0.6244 0.6244  4 Pd 2.73, 1 Mn 2.76, 6 Ti 2.86-3.04, 2 Al 2.92
Al 0.0000 0.0000 0.3756  4 Pd 2.73, 1 Mn 2.76, 6 Ti 2.86-3.04, 2 Al 2.92
Al 0.0000 0.3756 0.0000  4 Pd 2.73, 1 Mn 2.76, 6 Ti 2.86-3.04, 2 Al 2.92
Pd 0.5000 0.6667 0.3333  6 Al 2.73, 3 Ti 2.75, 2 Pd 2.92
Pd 0.5000 0.3333 0.6667  6 Al 2.73, 3 Ti 2.75, 2 Pd 2.92

Please write out number 4 again, unchanged.
The following is a DFT calculation (PBE) of a geometry-optimized Ti3MnAl3Pd2 structure.

Properties
The total magnetization comes out at 0.00 Bohr magnetons per cell. Its final energy is -6.610 eV per atom. For the density of states at the Fermi level, the calculation gives 5.64 states/eV/cell. The value obtained for the formation energy from the elements is -558 meV/atom.

Cell lengths 2.9218, 7.3533, 7.3533 Å; angles 120.00, 90.00, 90.00 degrees
Closest atoms and distances in Å follow each position.
Fractional coordinates of all 9 atoms:
Ti 0.5000 0.7381 0.0000  2 Mn 2.42
Ti 0.5000 0.0000 0.7381  2 Mn 2.42
Ti 0.5000 0.2619 0.2619  2 Mn 2.42
Mn 0.0000 0.0000 0.0000  6 Ti 2.42
Al 0.0000 0.6244 0.6244  4 Pd 2.73, 1 Mn 2.76, 6 Ti 2.86-3.04, 2 Al 2.92
Al 0.0000 0.0000 0.3756  4 Pd 2.73, 1 Mn 2.76, 6 Ti 2.86-3.04, 2 Al 2.92
Al 0.0000 0.3756 0.0000  4 Pd 2.73, 1 Mn 2.76, 6 Ti 2.86-3.04, 2 Al 2.92
Pd 0.5000 0.6667 0.3333  6 Al 2.73, 3 Ti 2.75, 2 Pd 2.92
Pd 0.5000 0.3333 0.6667  6 Al 2.73, 3 Ti 2.75, 2 Pd 2.92